1.
Y2CrCu: relaxed, PBE-GGA.

abc: 9.8505 9.8505 9.8505
angles: 154.45 154.45 36.45
Closest atoms and distances in Å follow each position.
Sites, in units of the cell vectors:
Y 0.1213 0.6250 0.9963  2 Cr 2.79, 2 Cu 2.81, 4 Y 3.06-3.10
Y 0.3750 0.3713 0.4963  2 Cr 2.79, 2 Cu 2.81, 4 Y 3.06-3.10
Y 0.6287 0.1250 0.0037  2 Cr 2.79, 2 Cu 2.81, 4 Y 3.06-3.10
Y 0.8750 0.8787 0.5037  2 Cr 2.79, 2 Cu 2.81, 4 Y 3.06-3.10
Cr 0.0000 0.0000 0.0000  4 Y 2.79, 4 Cu 3.08
Cr 0.7500 0.2500 0.5000  4 Y 2.79, 4 Cu 3.08
Cu 0.2500 0.7500 0.5000  4 Y 2.81, 4 Cr 3.08
Cu 0.5000 0.5000 0.0000  4 Y 2.81, 4 Cr 3.08


2.
Tc2B3: relaxed, PBE-GGA.

abc: 5.0573 5.0573 5.0573
angles: 145.75 137.02 56.07
Closest atoms and distances in Å follow each position.
Sites, in units of the cell vectors:
Tc 0.1561 0.1561 0.0000  6 B 2.24-2.32
Tc 0.8439 0.8439 0.0000  6 B 2.24-2.32
B 0.2525 0.5000 0.7525  4 B 1.75-1.87
B 0.5000 0.0000 0.5000  4 B 1.75
B 0.7475 0.5000 0.2475  4 B 1.75-1.87


no.,E (eV/cell),DFT formation energy (eV per atom),spin magnetization (Bohr magnetons per cell)
1,-45.33,0.9958,0.00
2,-40.48,0.0569,0.00